No. 1
! BaIr2Se (GGA-PBE, relaxed); values from VASP
! magnetization: 0.000 μB/atom
! E: -6.047 eV per atom
! energy relative to the elements, uncorrected: -0.2651 eV per atom
&SYSTEM
  ibrav = 0, nat = 4, ntyp = 3
/
ATOMIC_SPECIES
Ba 137.33 Ba.upf
Ir 192.22 Ir.upf
Se 78.96 Se.upf
ATOMIC_POSITIONS angstrom
Ba 0.000 0.000 0.000
Ir 0.652 0.000 3.331
Ir 3.261 0.000 3.237
Se 5.677 0.000 2.245
CELL_PARAMETERS angstrom
4.103 -2.104 0.000
4.103 2.104 0.000
-2.014 0.000 5.592

=====

No. 2
! BaIrSe2 (GGA-PBE, relaxed); values from VASP
! magnetization: 0.000 μB/atom
! offset from the most stable computed form: 54 meV per atom
! E: -5.227 eV per atom
! energy relative to the elements, uncorrected: -0.7891 eV per atom
&SYSTEM
  ibrav = 0, nat = 4, ntyp = 3
/
ATOMIC_SPECIES
Ba 137.33 Ba.upf
Ir 192.22 Ir.upf
Se 78.96 Se.upf
ATOMIC_POSITIONS angstrom
Ba 0.000 0.000 0.000
Ir 2.032 0.000 2.573
Se 0.856 1.967 3.517
Se 3.208 1.967 1.630
CELL_PARAMETERS angstrom
5.257 0.000 0.000
0.000 3.935 0.000
-1.194 0.000 5.147

=====

No. 3
! BaIrSe (GGA-PBE, relaxed); values from VASP
! magnetization: 0.000 μB/atom
! offset from the most stable computed form: 139 meV per atom
! E: -5.433 eV per atom
! energy relative to the elements, uncorrected: -0.6767 eV per atom
&SYSTEM
  ibrav = 0, nat = 3, ntyp = 3
/
ATOMIC_SPECIES
Ba 137.33 Ba.upf
Ir 192.22 Ir.upf
Se 78.96 Se.upf
ATOMIC_POSITIONS angstrom
Ba 0.000 0.000 0.000
Ir 2.166 1.250 2.391
Se 0.000 2.501 2.391
CELL_PARAMETERS angstrom
4.331 0.000 0.000
-2.166 3.751 0.000
0.000 0.000 4.783